This record from Alexandria describes a relaxed Pm3Pr2Nd crystal. The functional is PBE.

abc: 9.3735 9.3735 6.7272
angles: 102.79 102.79 21.59
With the nearest neighbours (Å) after each atom.
Positions (direct):
Pm 0.0000 0.0000 0.0000  2 Nd 3.36, 4 Pm 3.51
Pm 0.1715 0.1715 0.3574  1 Nd 3.50, 5 Pm 3.51-3.55, 5 Pr 3.65-3.80
Pm 0.8285 0.8285 0.6426  1 Nd 3.50, 5 Pm 3.51-3.55, 5 Pr 3.65-3.80
Pr 0.3380 0.3380 0.1485  4 Pr 3.51-3.83, 7 Pm 3.65-3.80, 2 Nd 3.79
Pr 0.6620 0.6620 0.8515  4 Pr 3.51-3.83, 7 Pm 3.65-3.80, 2 Nd 3.79
Nd 0.0000 0.0000 0.5000  4 Pm 3.36-3.50, 2 Nd 3.51

* SG: C2/m
* excess energy over the best structure of this formula in the dataset: 0.00 eV/f.u.
* V: 211.9 Å³ per cell
* DOS at the Fermi energy: 10.92 states/eV per cell


This record from Alexandria describes a relaxed Pm3Pr8Nd4 crystal. The functional is PBE.

abc: 9.4711 9.4711 6.9878
angles: 111.63 111.63 82.18
With the nearest neighbours (Å) after each atom.
Positions (direct):
Pm 0.0000 0.0000 0.0000  4 Pr 3.14
Pm 0.0000 0.5000 0.0000  2 Nd 3.49, 8 Pr 3.57-3.62
Pm 0.5000 0.0000 0.0000  2 Nd 3.49, 8 Pr 3.57-3.62
Pr 0.2025 0.2025 0.7028  4 Pr 3.54-3.57, 2 Pm 3.62, 3 Nd 3.62-3.71
Pr 0.2027 0.7973 0.5000  4 Pr 3.55-3.57, 3 Nd 3.62-3.70, 2 Pm 3.62
Pr 0.2519 0.2519 0.2516  1 Nd 3.09, 1 Pm 3.14
Pr 0.2518 0.7482 0.0000  1 Nd 3.09, 1 Pm 3.14
Pr 0.7482 0.2518 0.0000  1 Nd 3.09, 1 Pm 3.14
Pr 0.7481 0.7481 0.7484  1 Nd 3.09, 1 Pm 3.14
Pr 0.7973 0.2027 0.5000  4 Pr 3.55-3.57, 3 Nd 3.62-3.70, 2 Pm 3.62
Pr 0.7975 0.7975 0.2972  4 Pr 3.54-3.57, 2 Pm 3.62, 3 Nd 3.62-3.71
Nd 0.0000 0.5000 0.5000  2 Pm 3.49, 8 Pr 3.57-3.62
Nd 0.5000 0.0000 0.5000  2 Pm 3.49, 8 Pr 3.57-3.62
Nd 0.5000 0.5000 0.0000  2 Pr 3.09
Nd 0.5000 0.5000 0.5000  2 Pr 3.09

* SG: C2/m
* V: 541.7 Å³ per cell
* DOS at the Fermi energy: 24.59 states/eV per cell


This record from Alexandria describes a relaxed Pm3PrNd3 crystal. The functional is PBE.

abc: 9.8254 9.8254 5.9294
angles: 90.00 90.00 120.00
With the nearest neighbours (Å) after each atom.
Positions (direct):
Pm 0.0470 0.2365 0.2500  6 Pm 3.65-3.69, 5 Nd 3.66-3.73, 1 Pr 3.73
Pm 0.1896 0.9530 0.2500  6 Pm 3.65-3.69, 5 Nd 3.66-3.73, 1 Pr 3.73
Pm 0.2365 0.1896 0.7500  6 Pm 3.65-3.69, 5 Nd 3.66-3.73, 1 Pr 3.73
Pm 0.7635 0.8104 0.2500  6 Pm 3.65-3.69, 5 Nd 3.66-3.73, 1 Pr 3.73
Pm 0.8104 0.0470 0.7500  6 Pm 3.65-3.69, 5 Nd 3.66-3.73, 1 Pr 3.73
Pm 0.9530 0.7635 0.7500  6 Pm 3.65-3.69, 5 Nd 3.66-3.73, 1 Pr 3.73
Pr 0.3333 0.6667 0.2500  9 Nd 3.66-3.72, 3 Pm 3.73
Pr 0.6667 0.3333 0.7500  9 Nd 3.66-3.72, 3 Pm 3.73
Nd 0.0952 0.4750 0.7500  5 Pm 3.66-3.73, 3 Pr 3.66-3.72, 4 Nd 3.67-3.72
Nd 0.3798 0.9048 0.7500  5 Pm 3.66-3.73, 3 Pr 3.66-3.72, 4 Nd 3.67-3.72
Nd 0.4750 0.3798 0.2500  5 Pm 3.66-3.73, 3 Pr 3.66-3.72, 4 Nd 3.67-3.72
Nd 0.5250 0.6202 0.7500  5 Pm 3.66-3.73, 3 Pr 3.66-3.72, 4 Nd 3.67-3.72
Nd 0.6202 0.0952 0.2500  5 Pm 3.66-3.73, 3 Pr 3.66-3.72, 4 Nd 3.67-3.72
Nd 0.9048 0.5250 0.2500  5 Pm 3.66-3.73, 3 Pr 3.66-3.72, 4 Nd 3.67-3.72

* SG: P6_3/m
* excess energy over the best structure of this formula in the dataset: 0.00 eV/f.u.
* V: 495.7 Å³ per cell
* DOS at the Fermi energy: 24.04 states/eV per cell


This record from Alexandria describes a relaxed PmPr5Nd4 crystal. The functional is PBE.

abc: 14.6721 14.6721 7.0212
angles: 97.15 97.15 13.89
With the nearest neighbours (Å) after each atom.
Positions (direct):
Pm 0.0000 0.0000 0.0000  2 Pr 3.51, 6 Nd 3.54-3.68, 2 Pm 3.55
Pr 0.0000 0.0000 0.5000  2 Pm 3.51, 2 Pr 3.55, 6 Nd 3.57-3.69
Pr 0.2945 0.2945 0.8965  8 Pr 3.50-3.68, 3 Nd 3.68-3.76
Pr 0.2991 0.2991 0.4009  8 Pr 3.50-3.78, 3 Nd 3.54-3.72
Pr 0.7009 0.7009 0.5991  8 Pr 3.50-3.78, 3 Nd 3.54-3.72
Pr 0.7055 0.7055 0.1035  8 Pr 3.50-3.68, 3 Nd 3.68-3.76
Nd 0.1069 0.1069 0.8088  1 Pm 3.54, 4 Nd 3.55-3.93, 5 Pr 3.57-3.76
Nd 0.4062 0.4062 0.7020  4 Pr 3.54-3.69, 4 Nd 3.55-3.93, 2 Pm 3.68
Nd 0.5938 0.5938 0.2980  4 Pr 3.54-3.69, 4 Nd 3.55-3.93, 2 Pm 3.68
Nd 0.8931 0.8931 0.1912  1 Pm 3.54, 4 Nd 3.55-3.93, 5 Pr 3.57-3.76

* SG: C2/m
* excess energy over the best structure of this formula in the dataset: 0.00 eV/f.u.
* V: 359.9 Å³ per cell
* DOS at the Fermi energy: 17.29 states/eV per cell


This record from Alexandria describes a relaxed Pm7Pr4Nd crystal. The functional is PBE.

abc: 6.4065 7.4047 9.1568
angles: 90.05 103.50 90.00
With the nearest neighbours (Å) after each atom.
Positions (direct):
Pm 0.0000 0.0000 0.0000  4 Pr 3.64-3.65, 6 Pm 3.65-3.71, 2 Nd 3.70
Pm 0.2222 0.5001 0.6686  6 Pm 3.64-3.70, 1 Nd 3.64, 5 Pr 3.68-3.70
Pm 0.2770 0.2514 0.3312  5 Pm 3.64-3.70, 1 Nd 3.64, 6 Pr 3.68-3.72
Pm 0.4998 0.2510 0.0006  7 Pm 3.64-3.72, 3 Pr 3.64-3.65, 2 Nd 3.69-3.70
Pm 0.5002 0.7490 0.9994  7 Pm 3.64-3.72, 3 Pr 3.64-3.65, 2 Nd 3.69-3.70
Pm 0.7230 0.7486 0.6688  5 Pm 3.64-3.70, 1 Nd 3.64, 6 Pr 3.68-3.72
Pm 0.7778 0.4999 0.3314  6 Pm 3.64-3.70, 1 Nd 3.64, 5 Pr 3.68-3.70
Pr 0.2232 0.9998 0.6689  8 Pm 3.64-3.70, 4 Pr 3.69-3.71
Pr 0.2777 0.7490 0.3320  1 Nd 3.64, 8 Pm 3.65-3.72, 3 Pr 3.69-3.71
Pr 0.7223 0.2510 0.6680  1 Nd 3.64, 8 Pm 3.65-3.72, 3 Pr 3.69-3.71
Pr 0.7768 0.0002 0.3311  8 Pm 3.64-3.70, 4 Pr 3.69-3.71
Nd 0.0000 0.5000 0.0000  10 Pm 3.64-3.70, 2 Pr 3.64

* SG: P-1
* excess energy over the best structure of this formula in the dataset: 0.00 eV/f.u.
* V: 422.4 Å³ per cell
* DOS at the Fermi energy: 15.38 states/eV per cell


This record from Alexandria describes a relaxed PmPrNd4 crystal. The functional is PBE.

abc: 6.3846 6.3846 6.3759
angles: 99.63 99.63 119.99
With the nearest neighbours (Å) after each atom.
Positions (direct):
Pm 0.0000 0.0000 0.0000  10 Nd 3.68-3.69, 2 Pr 3.68
Pr 0.5000 0.5000 0.5000  2 Pm 3.68, 10 Nd 3.68-3.69
Nd 0.1664 0.8336 0.5000  7 Nd 3.68-3.69, 2 Pm 3.68, 3 Pr 3.69
Nd 0.3332 0.6668 0.0000  7 Nd 3.68-3.69, 2 Pr 3.68, 3 Pm 3.68-3.69
Nd 0.6668 0.3332 0.0000  7 Nd 3.68-3.69, 2 Pr 3.68, 3 Pm 3.68-3.69
Nd 0.8336 0.1664 0.5000  7 Nd 3.68-3.69, 2 Pm 3.68, 3 Pr 3.69

* SG: C2/m
* excess energy over the best structure of this formula in the dataset: 0.00 eV/f.u.
* V: 212.1 Å³ per cell
* DOS at the Fermi energy: 9.56 states/eV per cell


This record from Alexandria describes a relaxed Pm2Pr5Nd4 crystal. The functional is PBE.

abc: 12.4145 12.4145 9.0594
angles: 96.87 96.87 16.48
With the nearest neighbours (Å) after each atom.
Positions (direct):
Pm 0.0913 0.0913 0.2317  2 Nd 3.37-3.41, 2 Pr 3.44-3.54, 2 Pm 3.56
Pm 0.9087 0.9087 0.7683  2 Nd 3.37-3.41, 2 Pr 3.44-3.54, 2 Pm 3.56
Pr 0.1409 0.1409 0.6152  3 Nd 3.42-3.69, 1 Pm 3.54, 5 Pr 3.56-3.65
Pr 0.2311 0.2311 0.3236  1 Pm 3.44, 7 Pr 3.56-3.68, 3 Nd 3.68-3.76
Pr 0.5000 0.5000 0.5000  6 Pr 3.56-3.92, 4 Nd 3.77, 4 Pm 3.93
Pr 0.7689 0.7689 0.6764  1 Pm 3.44, 7 Pr 3.56-3.68, 3 Nd 3.68-3.76
Pr 0.8591 0.8591 0.3848  3 Nd 3.42-3.69, 1 Pm 3.54, 5 Pr 3.56-3.65
Nd 0.0455 0.0455 0.8613  2 Pm 3.37-3.41, 1 Pr 3.42, 5 Nd 3.56-3.72
Nd 0.3226 0.3226 0.0304  6 Nd 3.56-3.97, 5 Pr 3.68-3.76, 2 Pm 3.81
Nd 0.6774 0.6774 0.9696  6 Nd 3.56-3.97, 5 Pr 3.68-3.76, 2 Pm 3.81
Nd 0.9545 0.9545 0.1387  2 Pm 3.37-3.41, 1 Pr 3.42, 5 Nd 3.56-3.72

* SG: C2/m
* excess energy over the best structure of this formula in the dataset: 0.00 eV/f.u.
* V: 393.1 Å³ per cell
* DOS at the Fermi energy: 17.62 states/eV per cell


This record from Alexandria describes a relaxed PmPrNd5 crystal. The functional is PBE.

abc: 7.0084 7.0084 12.5435
angles: 108.44 108.44 60.09
With the nearest neighbours (Å) after each atom.
Positions (direct):
Pm 0.0000 0.5000 0.0000  4 Nd 3.40-3.65
Pm 0.5000 0.0000 0.5000  4 Nd 3.40-3.65
Pr 0.0307 0.9693 0.7500  3 Nd 3.09-3.37
Pr 0.9693 0.0307 0.2500  3 Nd 3.09-3.37
Nd 0.1540 0.4069 0.7501  2 Nd 3.07-3.36, 1 Pm 3.40
Nd 0.1938 0.6528 0.5003  4 Nd 3.36-3.72, 1 Pr 3.37
Nd 0.3472 0.8062 0.9997  4 Nd 3.36-3.72, 1 Pr 3.37
Nd 0.4069 0.1540 0.2501  2 Nd 3.07-3.36, 1 Pm 3.40
Nd 0.4095 0.5905 0.2500  2 Nd 3.07, 1 Pr 3.09
Nd 0.5905 0.4095 0.7500  2 Nd 3.07, 1 Pr 3.09
Nd 0.5931 0.8460 0.7499  2 Nd 3.07-3.36, 1 Pm 3.40
Nd 0.6528 0.1938 0.0003  4 Nd 3.36-3.72, 1 Pr 3.37
Nd 0.8062 0.3472 0.4997  4 Nd 3.36-3.72, 1 Pr 3.37
Nd 0.8460 0.5931 0.2499  2 Nd 3.07-3.36, 1 Pm 3.40

* SG: C2/c
* excess energy over the best structure of this formula in the dataset: 0.00 eV/f.u.
* V: 497.1 Å³ per cell
* DOS at the Fermi energy: 19.47 states/eV per cell


This record from Alexandria describes a relaxed Pm7Pr4Nd crystal. The functional is PBE.

abc: 8.7932 8.7932 9.4755
angles: 114.31 114.31 40.63
With the nearest neighbours (Å) after each atom.
Positions (direct):
Pm 0.0000 0.0000 0.0000  2 Nd 3.05
Pm 0.2866 0.2866 0.1224  5 Pm 3.34-3.70, 1 Pr 3.74
Pm 0.2924 0.2924 0.7748  1 Nd 3.14, 2 Pr 3.31-3.33, 2 Pm 3.34-3.48
Pm 0.4184 0.4184 0.5608  3 Pm 3.36-3.75, 3 Pr 3.53-3.64
Pm 0.5816 0.5816 0.4392  3 Pm 3.36-3.75, 3 Pr 3.53-3.64
Pm 0.7076 0.7076 0.2252  1 Nd 3.14, 2 Pr 3.31-3.33, 2 Pm 3.34-3.48
Pm 0.7134 0.7134 0.8776  5 Pm 3.34-3.70, 1 Pr 3.74
Pr 0.0751 0.0751 0.7000  2 Pm 3.33-3.56, 1 Pr 3.50
Pr 0.1733 0.1733 0.3881  7 Pm 3.31-3.64
Pr 0.8267 0.8267 0.6119  7 Pm 3.31-3.64
Pr 0.9249 0.9249 0.3000  2 Pm 3.33-3.56, 1 Pr 3.50
Nd 0.5000 0.5000 0.0000  4 Pm 3.05-3.14

* SG: C2/m
* excess energy over the best structure of this formula in the dataset: 2.25 eV/f.u.
* V: 428.7 Å³ per cell
* DOS at the Fermi energy: 19.12 states/eV per cell


This record from Alexandria describes a relaxed Pm3Pr6Nd crystal. The functional is PBE.

abc: 7.1138 7.1138 7.1138
angles: 91.19 91.19 91.19
With the nearest neighbours (Å) after each atom.
Positions (direct):
Pm 0.0000 0.0000 0.0000  2 Pm 3.01, 3 Pr 3.31
Pm 0.2492 0.2492 0.2492  1 Pm 3.01, 1 Nd 3.03
Pm 0.7508 0.7508 0.7508  1 Pm 3.01, 1 Nd 3.03
Pr 0.0000 0.6740 0.3260  3 Pm 3.31-3.57
Pr 0.1736 0.5000 0.8264  1 Nd 3.32, 2 Pm 3.57
Pr 0.3260 0.0000 0.6740  3 Pm 3.31-3.57
Pr 0.5000 0.8264 0.1736  1 Nd 3.32, 2 Pm 3.57
Pr 0.6740 0.3260 0.0000  3 Pm 3.31-3.57
Pr 0.8264 0.1736 0.5000  1 Nd 3.32, 2 Pm 3.57
Nd 0.5000 0.5000 0.5000  2 Pm 3.03, 3 Pr 3.32

* SG: R32
* excess energy over the best structure of this formula in the dataset: 0.89 eV/f.u.
* V: 359.8 Å³ per cell
* DOS at the Fermi energy: 19.27 states/eV per cell


This record from Alexandria describes a relaxed Pm3Pr6Nd crystal. The functional is PBE.

abc: 11.2578 11.2578 6.5383
angles: 90.00 90.00 120.71
With the nearest neighbours (Å) after each atom.
Positions (direct):
Pm 0.1175 0.8825 0.5000  7 Pr 3.50-3.89, 2 Pm 3.71, 1 Nd 3.78
Pm 0.2063 0.4423 0.1302  1 Nd 3.35, 6 Pr 3.38-3.64, 1 Pm 3.71
Pm 0.4423 0.2063 0.6302  1 Nd 3.35, 6 Pr 3.38-3.64, 1 Pm 3.71
Pm 0.5577 0.7937 0.1302  1 Nd 3.35, 6 Pr 3.38-3.64, 1 Pm 3.71
Pm 0.7937 0.5577 0.6302  1 Nd 3.35, 6 Pr 3.38-3.64, 1 Pm 3.71
Pm 0.8825 0.1175 0.0000  7 Pr 3.50-3.89, 2 Pm 3.71, 1 Nd 3.78
Pr 0.0271 0.4427 0.7167  1 Pr 3.18, 1 Nd 3.33, 2 Pm 3.38-3.52
Pr 0.1302 0.2095 0.5352  4 Pm 3.51-3.89, 5 Pr 3.57-3.90
Pr 0.2095 0.1302 0.0352  4 Pm 3.51-3.89, 5 Pr 3.57-3.90
Pr 0.2185 0.7815 0.9422  2 Pr 3.18, 1 Nd 3.48, 1 Pm 3.50
Pr 0.4427 0.0271 0.2167  1 Pr 3.18, 1 Nd 3.33, 2 Pm 3.38-3.52
Pr 0.4664 0.5336 0.7352  1 Nd 3.46, 2 Pr 3.52, 4 Pm 3.62-3.64
Pr 0.5336 0.4664 0.2352  1 Nd 3.46, 2 Pr 3.52, 4 Pm 3.62-3.64
Pr 0.5573 0.9729 0.7167  1 Pr 3.18, 1 Nd 3.33, 2 Pm 3.38-3.52
Pr 0.7815 0.2185 0.4422  2 Pr 3.18, 1 Nd 3.48, 1 Pm 3.50
Pr 0.7905 0.8698 0.5352  4 Pm 3.51-3.89, 5 Pr 3.57-3.90
Pr 0.8698 0.7905 0.0352  4 Pm 3.51-3.89, 5 Pr 3.57-3.90
Pr 0.9729 0.5573 0.2167  1 Pr 3.18, 1 Nd 3.33, 2 Pm 3.38-3.52
Nd 0.3106 0.6894 0.4865  4 Pr 3.33-3.48, 2 Pm 3.35
Nd 0.6894 0.3106 0.9865  4 Pr 3.33-3.48, 2 Pm 3.35

* SG: Cmc2_1
* excess energy over the best structure of this formula in the dataset: 0.00 eV/f.u.
* V: 712.5 Å³ per cell
* DOS at the Fermi energy: 27.15 states/eV per cell


This record from Alexandria describes a relaxed Pm3Pr3Nd5 crystal. The functional is PBE.

abc: 11.5009 11.5009 3.5036
angles: 90.00 90.00 120.00
With the nearest neighbours (Å) after each atom.
Positions (direct):
Pm 0.0000 0.1597 0.0000  4 Pm 3.18-3.50, 2 Pr 3.29, 2 Nd 3.38
Pm 0.1597 0.0000 0.0000  4 Pm 3.18-3.50, 2 Pr 3.29, 2 Nd 3.38
Pm 0.8403 0.8403 0.0000  4 Pm 3.18-3.50, 2 Pr 3.29, 2 Nd 3.38
Pr 0.0000 0.4018 0.5000  2 Pm 3.29, 2 Nd 3.46, 2 Pr 3.50
Pr 0.4018 0.0000 0.5000  2 Pm 3.29, 2 Nd 3.46, 2 Pr 3.50
Pr 0.5982 0.5982 0.5000  2 Pm 3.29, 2 Nd 3.46, 2 Pr 3.50
Nd 0.0000 0.6608 0.0000  2 Pm 3.38, 2 Pr 3.46, 2 Nd 3.50
Nd 0.3333 0.6667 0.0000  5 Nd 3.50-3.80, 6 Pr 3.92
Nd 0.3392 0.3392 0.0000  2 Pm 3.38, 2 Pr 3.46, 2 Nd 3.50
Nd 0.6608 0.0000 0.0000  2 Pm 3.38, 2 Pr 3.46, 2 Nd 3.50
Nd 0.6667 0.3333 0.0000  5 Nd 3.50-3.80, 6 Pr 3.92

* SG: P-62m
* excess energy over the best structure of this formula in the dataset: 0.00 eV/f.u.
* V: 401.3 Å³ per cell
* DOS at the Fermi energy: 18.54 states/eV per cell


Number 1: total DFT energy (no corrections) -4.63 eV per atom. Number 2: total DFT energy (no corrections) -4.48 eV per atom. Number 3: total DFT energy (no corrections) -4.73 eV per atom. Number 4: total DFT energy (no corrections) -4.64 eV per atom. Number 5: total DFT energy (no corrections) -4.75 eV per atom. Number 6: total DFT energy (no corrections) -4.75 eV per atom. Number 7: total DFT energy (no corrections) -4.65 eV per atom. Number 8: total DFT energy (no corrections) -4.61 eV per atom. Number 9: total DFT energy (no corrections) -4.56 eV per atom. Number 10: total DFT energy (no corrections) -4.55 eV per atom. Number 11: total DFT energy (no corrections) -4.64 eV per atom. Number 12: total DFT energy (no corrections) -4.47 eV per atom.